{
  "formula": "SrCu2Re",
  "functional": "PBE-GGA",
  "state": "optimized geometry",
  "lattice": [[4.797, 0.000, 0.000], [0.000, 4.797, 0.000], [2.399, 2.399, 8.548]],
  "species": ["Re", "Sr", "Cu", "Sr", "Cu", "Cu", "Re", "Cu"],
  "fractional_positions": [[0.000, 0.000, 0.000], [0.500, 0.500, 0.000], [0.875, 0.125, 0.750], [0.250, 0.750, 0.500], [0.375, 0.125, 0.750], [0.875, 0.625, 0.250], [0.750, 0.250, 0.500], [0.875, 0.125, 0.250]],
  "formation_energy_ev_per_atom": 0.9000,
  "n_ef_per_ev_atom": 0.63
}